Record 1
# KTeMo2, optimized geometry, DFT PBE-GGA
# **Crystal system**: monoclinic
# **Energy relative to the elements, uncorrected**: 0.929 eV per atom
# **Magnetization**: 0.00 Bohr magnetons per cell
data_KTeMo2
_chemical_formula_sum 'K1 Te1 Mo2'
_symmetry_space_group_name_H-M 'P 1'
_symmetry_Int_Tables_number 1
_symmetry_space_group_name_Hall 'P 1'
_cell_length_a 2.950
_cell_length_b 5.372
_cell_length_c 6.289
_cell_angle_alpha 90.00
_cell_angle_beta 90.20
_cell_angle_gamma 90.00
loop_
_atom_site_label
_atom_site_fract_x
_atom_site_fract_y
_atom_site_fract_z
_atom_site_occupancy
K1 0.000 0.000 0.000 1
Te1 0.500 0.000 0.500 1
Mo1 0.377 0.500 0.330 1
Mo2 0.623 0.500 0.670 1

---

Record 2
# KTeMo2, optimized geometry, DFT PBE-GGA
# **Crystal system**: trigonal
# **Energy relative to the elements, uncorrected**: 1.024 eV per atom
# **Magnetization**: 0.00 Bohr magnetons per cell
data_KTeMo2
_chemical_formula_sum 'K1 Te1 Mo2'
_symmetry_space_group_name_H-M 'P 1'
_symmetry_Int_Tables_number 1
_symmetry_space_group_name_Hall 'P 1'
_cell_length_a 10.455
_cell_length_b 10.455
_cell_length_c 10.455
_cell_angle_alpha 17.27
_cell_angle_beta 17.27
_cell_angle_gamma 17.27
loop_
_atom_site_label
_atom_site_fract_x
_atom_site_fract_y
_atom_site_fract_z
_atom_site_occupancy
K1 0.000 0.000 0.000 1
Te1 0.500 0.500 0.500 1
Mo1 0.234 0.234 0.234 1
Mo2 0.766 0.766 0.766 1

---

Record 3
# KTeMo2, optimized geometry, DFT PBE-GGA
# **Crystal system**: orthorhombic
# **Energy relative to the elements, uncorrected**: 1.396 eV per atom
# **Magnetization**: 0.00 Bohr magnetons per cell
data_KTeMo2
_chemical_formula_sum 'K1 Te1 Mo2'
_symmetry_space_group_name_H-M 'P 1'
_symmetry_Int_Tables_number 1
_symmetry_space_group_name_Hall 'P 1'
_cell_length_a 5.957
_cell_length_b 5.957
_cell_length_c 2.840
_cell_angle_alpha 90.00
_cell_angle_beta 90.00
_cell_angle_gamma 121.70
loop_
_atom_site_label
_atom_site_fract_x
_atom_site_fract_y
_atom_site_fract_z
_atom_site_occupancy
K1 0.000 0.000 0.000 1
Te1 0.500 0.500 0.000 1
Mo1 0.000 0.500 0.500 1
Mo2 0.500 0.000 0.500 1